Entry 1:
# PBEsol LiIn3, relaxed
# * ΔE_f: -0.38 eV per formula unit
# * energy: -2.8250 eV/atom
# * crystal system: hexagonal
# * N(E_F): 0.507 states/eV/atom
data_LiIn3
_chemical_formula_sum 'Li1 In3'
_cell_length_a 3.3566
_cell_length_b 3.3566
_cell_length_c 9.5167
_cell_angle_alpha 90.00
_cell_angle_beta 90.00
_cell_angle_gamma 120.00
_symmetry_space_group_name_H-M 'P -6 m 2'
_symmetry_Int_Tables_number 187
_symmetry_space_group_name_Hall 'P -6 2'
loop_
_atom_site_label
_atom_site_fract_x
_atom_site_fract_y
_atom_site_fract_z
_atom_site_occupancy
Li1 0.0000 0.0000 0.0000 1
In1 0.0000 0.0000 0.5000 1
In2 0.6667 0.3333 0.2349 1

***

Entry 2:
# PBEsol HIrBr3, relaxed
# * energy: -2.4684 eV/atom
# * crystal system: cubic
# * N(E_F): 0.954 states/eV/atom
data_HIrBr3
_chemical_formula_sum 'H1 Ir1 Br3'
_cell_length_a 4.364
_cell_length_b 4.364
_cell_length_c 4.364
_cell_angle_alpha 90.00
_cell_angle_beta 90.00
_cell_angle_gamma 90.00
_symmetry_space_group_name_H-M 'P m -3 m'
_symmetry_Int_Tables_number 221
_symmetry_space_group_name_Hall '-P 4 2 3'
loop_
_atom_site_label
_atom_site_fract_x
_atom_site_fract_y
_atom_site_fract_z
_atom_site_occupancy
H1 0.000 0.000 0.000 1
Ir1 0.500 0.500 0.500 1
Br1 0.000 0.000 0.500 1

***

Entry 3:
# PBEsol Ta2MnPb, relaxed
# * ΔE_f: 1.04 eV per formula unit
# * energy: -9.4559 eV/atom
# * crystal system: tetragonal
# * N(E_F): 0.868 states/eV/atom
data_Ta2MnPb
_chemical_formula_sum 'Ta2 Mn1 Pb1'
_cell_length_a 2.980
_cell_length_b 2.980
_cell_length_c 7.883
_cell_angle_alpha 90.00
_cell_angle_beta 90.00
_cell_angle_gamma 90.00
_symmetry_space_group_name_H-M 'P 4/m m m'
_symmetry_Int_Tables_number 123
_symmetry_space_group_name_Hall '-P 4 2'
loop_
_atom_site_label
_atom_site_fract_x
_atom_site_fract_y
_atom_site_fract_z
_atom_site_occupancy
Ta1 0.000 0.000 0.194 1
Mn1 0.500 0.500 0.000 1
Pb1 0.500 0.500 0.500 1

***

Entry 4:
# PBEsol KSc2Au, relaxed
# * ΔE_f: 0.24 eV per formula unit
# * energy: -4.5075 eV/atom
# * crystal system: orthorhombic
# * N(E_F): 1.245 states/eV/atom
data_KSc2Au
_chemical_formula_sum 'K2 Sc4 Au2'
_cell_length_a 3.196
_cell_length_b 5.664
_cell_length_c 11.515
_cell_angle_alpha 90.00
_cell_angle_beta 90.00
_cell_angle_gamma 90.00
_symmetry_space_group_name_H-M 'I m m m'
_symmetry_Int_Tables_number 71
_symmetry_space_group_name_Hall '-I 2 2'
loop_
_atom_site_label
_atom_site_fract_x
_atom_site_fract_y
_atom_site_fract_z
_atom_site_occupancy
K1 0.000 0.000 0.000 1
Sc1 0.000 0.500 0.201 1
Au1 0.000 0.000 0.500 1

***

Entry 5:
# PBEsol ZnAg2Rh, relaxed
# * ΔE_f: 0.26 eV per formula unit
# * energy: -4.0200 eV/atom
# * crystal system: monoclinic
# * N(E_F): 0.829 states/eV/atom
data_ZnAg2Rh
_chemical_formula_sum 'Zn2 Ag4 Rh2'
_cell_length_a 5.289
_cell_length_b 9.384
_cell_length_c 2.777
_cell_angle_alpha 90.00
_cell_angle_beta 118.53
_cell_angle_gamma 90.00
_symmetry_space_group_name_H-M 'C 1 2/m 1'
_symmetry_Int_Tables_number 12
loop_
_symmetry_equiv_pos_as_xyz
'x,y,z'
'-x,-y,-z'
'-x,y,-z'
'x,-y,z'
'x+1/2,y+1/2,z'
'-x+1/2,-y+1/2,-z'
'-x+1/2,y+1/2,-z'
'x+1/2,-y+1/2,z'
loop_
_atom_site_label
_atom_site_fract_x
_atom_site_fract_y
_atom_site_fract_z
_atom_site_occupancy
Zn1 0.000 0.000 0.000 1
Ag1 0.250 0.250 0.500 1
Rh1 0.000 0.500 0.000 1

***

Entry 6:
# PBEsol AlTl3Cu, relaxed
# * ΔE_f: 2.03 eV per formula unit
# * energy: -2.8570 eV/atom
# * crystal system: cubic
# * N(E_F): 0.375 states/eV/atom
data_AlTl3Cu
_chemical_formula_sum 'Al1 Tl3 Cu1'
_cell_length_a 5.094
_cell_length_b 5.094
_cell_length_c 5.094
_cell_angle_alpha 90.00
_cell_angle_beta 90.00
_cell_angle_gamma 90.00
_symmetry_space_group_name_H-M 'P m -3 m'
_symmetry_Int_Tables_number 221
_symmetry_space_group_name_Hall '-P 4 2 3'
loop_
_atom_site_label
_atom_site_fract_x
_atom_site_fract_y
_atom_site_fract_z
_atom_site_occupancy
Al1 0.000 0.000 0.000 1
Tl1 0.000 0.500 0.500 1
Cu1 0.500 0.500 0.500 1

***

Number 1: M_tot 0.000 μB/atom. Number 2: M_tot 0.000 μB/atom. Number 3: M_tot 0.000 μB/atom. Number 4: M_tot 0.000 μB/atom. Number 5: M_tot 0.006 μB/atom. Number 6: M_tot 0.000 μB/atom.